The following is a DFT calculation (PBE with a Hubbard U) of an optimized crystal structure of FeCoO3.

Values from the calculation:
The total magnetization comes out at 7.11 μB/f.u. The raw total energy is -28.328 eV per cell.

Lattice parameters (Å, degrees): 3.724 3.724 3.724 90.00 90.00 90.00
Space group Pm-3m (No. 221)
Asymmetric unit:
Fe (0.000, 0.000, 0.000) x1
Co (0.500, 0.500, 0.500) x1
O (0.000, 0.000, 0.500) x3